Entry 1:
# LiYMgH | the Alexandria database | GGA-PBE | optimized geometry
data_LiYMgH
_chemical_formula_sum 'Li2 Y2 Mg2 H2'
_symmetry_space_group_name_H-M 'P 4/n m m'
_symmetry_Int_Tables_number 129
_cell_length_a 4.0663
_cell_length_b 4.0663
_cell_length_c 9.1924
_cell_angle_alpha 90.00
_cell_angle_beta 90.00
_cell_angle_gamma 90.00
loop_
_symmetry_equiv_pos_as_xyz
'x,y,z'
'-x,-y,-z'
'-y+1/2,x,z'
'y+1/2,-x,-z'
'-x+1/2,-y+1/2,z'
'x+1/2,y+1/2,-z'
'y,-x+1/2,z'
'-y,x+1/2,-z'
'x+1/2,-y,-z'
'-x+1/2,y,z'
'-y,-x,-z'
'y,x,z'
'-x,y+1/2,-z'
'x,-y+1/2,z'
'y+1/2,x+1/2,-z'
'-y+1/2,-x+1/2,z'
loop_
_atom_site_label
_atom_site_type_symbol
_atom_site_fract_x
_atom_site_fract_y
_atom_site_fract_z
_atom_site_occupancy
Li1 Li 0.2500 0.7500 0.0000 1
Y1 Y 0.2500 0.2500 0.3828 1
Mg1 Mg 0.2500 0.2500 0.7785 1
H1 H 0.2500 0.7500 0.5000 1
# **Total DFT energy (no corrections)**: -3.515 eV/atom
# **Volume**: 19.000 Å³ per atom
# **Crystal system**: tetragonal


Entry 2:
# Li6Mg2ZnH | the Alexandria database | GGA-PBE | optimized geometry
data_Li6Mg2ZnH
_chemical_formula_sum 'Li12 Mg4 Zn2 H2'
_symmetry_space_group_name_H-M 'C 1 2/m 1'
_symmetry_Int_Tables_number 12
_cell_length_a 8.9002
_cell_length_b 8.7472
_cell_length_c 6.3141
_cell_angle_alpha 90.00
_cell_angle_beta 134.58
_cell_angle_gamma 90.00
loop_
_symmetry_equiv_pos_as_xyz
'x,y,z'
'-x,-y,-z'
'-x,y,-z'
'x,-y,z'
'x+1/2,y+1/2,z'
'-x+1/2,-y+1/2,-z'
'-x+1/2,y+1/2,-z'
'x+1/2,-y+1/2,z'
loop_
_atom_site_label
_atom_site_type_symbol
_atom_site_fract_x
_atom_site_fract_y
_atom_site_fract_z
_atom_site_occupancy
Li1 Li 0.0000 0.2208 0.0000 1
Li2 Li 0.2227 0.0000 0.9989 1
Li3 Li 0.2247 0.0000 0.4498 1
Mg1 Mg 0.0000 0.2504 0.5000 1
Zn1 Zn 0.0000 0.5000 0.0000 1
H1 H 0.0000 0.0000 0.0000 1
# **Total DFT energy (no corrections)**: -1.953 eV/atom
# **Volume**: 17.505 Å³ per atom
# **Crystal system**: monoclinic


Entry 3:
# Li2MgZnH | the Alexandria database | GGA-PBE | optimized geometry
data_Li2MgZnH
_chemical_formula_sum 'Li2 Mg1 Zn1 H1'
_symmetry_space_group_name_H-M 'P 4/m m m'
_symmetry_Int_Tables_number 123
_symmetry_space_group_name_Hall '-P 4 2'
_cell_length_a 3.9938
_cell_length_b 3.9938
_cell_length_c 4.3050
_cell_angle_alpha 90.00
_cell_angle_beta 90.00
_cell_angle_gamma 90.00
loop_
_atom_site_label
_atom_site_type_symbol
_atom_site_fract_x
_atom_site_fract_y
_atom_site_fract_z
_atom_site_occupancy
Li1 Li 0.0000 0.5000 0.0000 1
Mg1 Mg 0.0000 0.0000 0.5000 1
Zn1 Zn 0.5000 0.5000 0.5000 1
H1 H 0.0000 0.0000 0.0000 1
# **Total DFT energy (no corrections)**: -2.161 eV/atom
# **Volume**: 13.733 Å³ per atom
# **Crystal system**: tetragonal


Entry 4:
# Li2MgZnH | the Alexandria database | GGA-PBE | optimized geometry
data_Li2MgZnH
_chemical_formula_sum 'Li2 Mg1 Zn1 H1'
_symmetry_space_group_name_H-M 'P 4/m m m'
_symmetry_Int_Tables_number 123
_symmetry_space_group_name_Hall '-P 4 2'
_cell_length_a 4.1371
_cell_length_b 4.1371
_cell_length_c 4.0802
_cell_angle_alpha 90.00
_cell_angle_beta 90.00
_cell_angle_gamma 90.00
loop_
_atom_site_label
_atom_site_type_symbol
_atom_site_fract_x
_atom_site_fract_y
_atom_site_fract_z
_atom_site_occupancy
Li1 Li 0.0000 0.5000 0.0000 1
Mg1 Mg 0.0000 0.0000 0.5000 1
Zn1 Zn 0.5000 0.5000 0.5000 1
H1 H 0.5000 0.5000 0.0000 1
# **Total DFT energy (no corrections)**: -2.065 eV/atom
# **Volume**: 13.967 Å³ per atom
# **Crystal system**: tetragonal